1.
The following is a DFT calculation (PBE) of an optimized crystal structure of SmFe4P2.

The structure belongs to space group Cmmm (No. 65); the cell edges are 3.805, 13.123 and 3.793 Å and the angles 90.00°, 90.00° and 90.00°. Symmetry generates all atoms from Sm at (0.000, 0.000, 0.000), Fe at (0.000, 0.189, 0.500), Fe at (0.000, 0.307, 0.000) and P at (0.000, 0.396, 0.500).

***

2.
The following is a DFT calculation (PBE) of an optimized crystal structure of SmFe3P3.

The distance to the lowest polymorph of the same formula comes out at 18.57 kJ per mole of atoms.

The structure belongs to space group Pm-3n (No. 223); the cell edges are 6.098, 6.098 and 6.098 Å and the angles 90.00°, 90.00° and 90.00°. Symmetry generates all atoms from Sm at (0.000, 0.000, 0.000), Fe at (0.000, 0.250, 0.500) and P at (0.000, 0.500, 0.250).

***

Number 1: formation energy from the elements -0.576 eV/atom, calculated density 7.6 g cm⁻³, VASP energy -106.85 eV/cell. Number 2: formation energy from the elements -0.443 eV/atom, calculated density 6.0 g cm⁻³, VASP energy -98.87 eV/cell.